The following is a PBE calculation of an optimized crystal structure of TaAlVTc, from the Alexandria database. Values from VASP.

Results
DFT formation energy = -0.295 eV per atom
density of states at the Fermi level = 2.73 states/eV/cell
calculated density = 9.6 Mg/m³

```
&SYSTEM
  ibrav = 0, nat = 4, ntyp = 4
/
ATOMIC_SPECIES
Al 26.98 Al.upf
V 50.94 V.upf
Ta 180.95 Ta.upf
Tc 98.00 Tc.upf
CELL_PARAMETERS angstrom
-4.192 0.289 -1.403
-1.904 -3.454 -2.018
-3.187 -2.287 2.058
ATOMIC_POSITIONS crystal
Al 0.250 0.250 0.250
V 0.500 0.500 0.500
Ta 0.750 0.750 0.750
Tc 0.000 0.000 0.000
```